Entry 1:
The following is a PBE-GGA calculation of a geometry-optimized Ti4ZnC2 structure, from Alexandria via LeMat-Bulk.

Cell lengths 3.1542, 10.5126, 11.0641 Å; angles 90.00, 90.00, 90.00 degrees
With the nearest neighbours (Å) after each atom.
Space group Cmcm (No. 63)
One atom of each set of equivalent atoms:
1 Ti 0.0000 0.0000 0.0000  4 C 2.22
2 Ti 0.0000 0.2580 0.1042  3 C 2.10-2.13
3 Ti 0.0000 0.4189 0.7500  2 C 2.18
4 Zn 0.0000 0.1122 0.7500  6 Ti 2.57-2.64
5 C 0.0000 0.3654 0.5592  6 Ti 2.10-2.22

Output
Total magnetization   0.00 μB per formula unit
VASP energy   -7.901 eV/atom

=====

Entry 2:
The following is a PBE-GGA calculation of a geometry-optimized Ti3ZnC structure, from Alexandria via LeMat-Bulk.

Cell lengths 9.7299, 4.3335, 7.3900 Å; angles 90.00, 113.70, 90.00 degrees
With the nearest neighbours (Å) after each atom.
Space group C2/m (No. 12)
One atom of each set of equivalent atoms:
1 Ti 0.1097 0.0000 0.2020  2 C 2.07-2.09
2 Ti 0.1394 0.5000 0.9307  3 C 2.12-2.17
3 Ti 0.1455 0.0000 0.6594  1 C 2.07
4 Zn 0.1050 0.5000 0.4367  1 Zn 2.57, 6 Ti 2.65-2.80
5 C 0.1226 0.0000 0.9261  6 Ti 2.07-2.17

Output
Total magnetization   0.00 μB per formula unit
VASP energy   -7.286 eV/atom

=====

Entry 3:
The following is a PBE-GGA calculation of a geometry-optimized Ti3ZnC structure, from Alexandria via LeMat-Bulk.

Cell lengths 9.7429, 4.2421, 7.6759 Å; angles 90.00, 114.88, 90.00 degrees
With the nearest neighbours (Å) after each atom.
Space group Cm (No. 8)
One atom of each set of equivalent atoms:
1 Ti 0.0000 0.0000 0.0000  1 C 2.10
2 Ti 0.0106 0.5000 0.7380  3 C 2.08-2.13
3 Ti 0.0277 0.5000 0.2325  6 Ti 2.71-2.91, 2 Zn 2.81-2.88
4 Ti 0.0421 0.0000 0.4782  2 C 2.06-2.09
5 Ti 0.2611 0.0000 0.8756  2 C 2.08-2.12
6 Ti 0.2861 0.5000 0.6046  3 C 2.12
7 Zn 0.2720 0.5000 0.1280  2 Zn 2.64, 5 Ti 2.78-2.86
8 Zn 0.2744 0.0000 0.3335  1 C 2.10
9 C 0.0257 0.0000 0.7415  6 Ti 2.08-2.13
10 C 0.2749 0.0000 0.6077  5 Ti 2.06-2.12, 1 Zn 2.10

Output
Total magnetization   0.65 μB per formula unit
VASP energy   -7.161 eV/atom

=====

Entry 4:
The following is a PBE-GGA calculation of a geometry-optimized Ti3ZnC structure, from Alexandria via LeMat-Bulk.

Cell lengths 5.3293, 5.3293, 19.3019 Å; angles 90.00, 90.00, 120.00 degrees
With the nearest neighbours (Å) after each atom.
Space group R-3 (No. 148, hexagonal axes)
One atom of each set of equivalent atoms:
1 Ti 0.0068 0.6596 0.4403  2 C 2.07-2.12
2 Zn 0.0000 0.0000 0.3366  6 Ti 2.71-2.74
3 C 0.0000 0.0000 0.1623  6 Ti 2.07-2.12

Output
Total magnetization   0.00 μB per formula unit
VASP energy   -7.091 eV/atom

=====

Entry 5:
The following is a PBE-GGA calculation of a geometry-optimized Ti3ZnC structure, from Alexandria via LeMat-Bulk.

Cell lengths 5.8157, 5.8157, 4.8502 Å; angles 90.00, 90.00, 120.00 degrees
With the nearest neighbours (Å) after each atom.
Space group P6_3/mmc (No. 194)
One atom of each set of equivalent atoms:
1 Ti 0.1699 0.3399 0.2500  2 C 2.10
2 Zn 0.3333 0.6667 0.7500  12 Ti 2.91-2.93
3 C 0.0000 0.0000 0.0000  6 Ti 2.10

Output
Total magnetization   0.00 μB per formula unit
VASP energy   -7.231 eV/atom

=====

Entry 6:
The following is a PBE-GGA calculation of a geometry-optimized Ti3ZnC structure, from Alexandria via LeMat-Bulk.

Cell lengths 18.6462, 3.0289, 5.1622 Å; angles 90.00, 97.40, 90.00 degrees
With the nearest neighbours (Å) after each atom.
Space group C2/m (No. 12)
One atom of each set of equivalent atoms:
1 Ti 0.0579 0.0000 0.1981  6 Ti 2.78-3.04, 6 Zn 2.83-3.09
2 Ti 0.1856 0.0000 0.8875  3 C 2.09
3 Ti 0.1868 0.5000 0.3849  3 C 2.09-2.12
4 Zn 0.0615 0.5000 0.6772  3 Zn 2.74-3.03, 7 Ti 2.83-2.94
5 C 0.2483 0.5000 0.7522  6 Ti 2.09-2.12

Output
Total magnetization   0.00 μB per formula unit
VASP energy   -7.243 eV/atom

=====

Entry 7:
The following is a PBE-GGA calculation of a geometry-optimized Ti3ZnC structure, from Alexandria via LeMat-Bulk.

Cell lengths 17.2621, 3.1736, 5.6712 Å; angles 90.00, 94.71, 90.00 degrees
With the nearest neighbours (Å) after each atom.
Space group C2/m (No. 12)
One atom of each set of equivalent atoms:
1 Ti 0.0619 0.0000 0.3489  1 C 2.06
2 Ti 0.1817 0.0000 0.0411  1 C 2.00
3 Ti 0.1934 0.5000 0.6130  3 C 2.02-2.16
4 Zn 0.0581 0.5000 0.8607  1 Zn 2.65, 5 Ti 2.79-2.82
5 C 0.1818 0.0000 0.3940  5 Ti 2.00-2.16

Output
Total magnetization   0.00 μB per formula unit
VASP energy   -6.921 eV/atom

=====

Entry 8:
The following is a PBE-GGA calculation of a geometry-optimized Ti3ZnC structure, from Alexandria via LeMat-Bulk.

Cell lengths 14.2735, 3.0130, 6.9533 Å; angles 90.00, 95.60, 90.00 degrees
With the nearest neighbours (Å) after each atom.
Space group C2/m (No. 12)
One atom of each set of equivalent atoms:
1 Ti 0.0495 0.0000 0.2079  1 C 2.10
2 Ti 0.0886 0.5000 0.5631  2 C 2.09
3 Ti 0.2407 0.5000 0.3175  3 C 2.09-2.15
4 Zn 0.1419 0.5000 0.9394  4 Ti 2.65-2.86
5 C 0.1599 0.0000 0.4298  6 Ti 2.09-2.15

Output
Total magnetization   0.00 μB per formula unit
VASP energy   -7.196 eV/atom